# 1
Compound: CsCrSbTe2
Source: Alexandria via LeMat-Bulk
Functional: PBE
Structure: relaxed

Results
Electronic total energy ... -2.67 eV per atom
Symmetry ... P4/mmm (123)

Unit cell a=6.496 b=6.496 c=6.337 alpha=90.00 beta=90.00 gamma=90.00
Each line ends with the local moment (μB).
Sites, in units of the cell vectors:
Sb  0.000  0.000  0.500  -0.45
Te  0.500  0.000  0.000  -0.36
Te  0.000  0.500  0.000  -0.36
Cr  0.500  0.500  0.500  4.39
Cs  0.000  0.000  0.000  -0.05

# 2
Compound: Ca2NbSe4
Source: Alexandria via LeMat-Bulk
Functional: PBE
Structure: relaxed

Results
Electronic total energy ... -5.17 eV per atom
Symmetry ... I4/mmm (139)

Unit cell a=5.020 b=5.020 c=8.293 alpha=72.38 beta=72.38 gamma=90.00
Each line ends with the local moment (μB).
Sites, in units of the cell vectors:
Se  0.000  0.500  0.000  0.00
Ca  0.363  0.363  0.274  0.00
Se  0.824  0.824  0.352  0.01
Nb  0.000  0.000  0.000  0.10
Se  0.500  0.000  0.000  0.00
Ca  0.637  0.637  0.726  0.00
Se  0.176  0.176  0.648  0.01

# 3
Compound: Er2MgCd
Source: Alexandria via LeMat-Bulk
Functional: PBE
Structure: relaxed

Results
Symmetry ... R3m (160)
DFT formation energy ... -9 kJ/mol of formula units

Unit cell a=3.474 b=3.474 c=10.733 alpha=80.69 beta=80.69 gamma=60.00
Sites, in units of the cell vectors:
Cd  0.667  0.667  0.000
Er  0.253  0.253  0.240
Er  0.080  0.080  0.761
Mg  0.500  0.500  0.500

# 4
Compound: Al2PbSe
Source: Alexandria via LeMat-Bulk
Functional: PBE
Structure: relaxed

Results
Electronic total energy ... -3.51 eV per atom
Symmetry ... I-4m2 (119)

Unit cell a=5.896 b=5.896 c=5.896 alpha=137.60 beta=137.60 gamma=61.51
Sites, in units of the cell vectors:
Al  0.250  0.750  0.500
Se  0.750  0.250  0.500
Al  0.000  0.000  0.000
Pb  0.500  0.500  0.000

# 5
Compound: PPtO2F
Source: Alexandria via LeMat-Bulk
Functional: PBE
Structure: relaxed

Results
Electronic total energy ... -4.89 eV per atom
Symmetry ... P4/mmm (123)

Unit cell a=3.299 b=3.299 c=6.130 alpha=90.00 beta=90.00 gamma=90.00
Sites, in units of the cell vectors:
O  0.500  0.000  0.000
Pt  0.500  0.500  0.500
P  0.000  0.000  0.000
O  0.000  0.500  0.000
F  0.000  0.000  0.500

# 6
Compound: Mg6TiW
Source: Alexandria via LeMat-Bulk
Functional: PBE
Structure: relaxed

Results
Symmetry ... Amm2 (38)
DFT formation energy ... 247 kJ/mol of formula units

Unit cell a=6.232 b=6.232 c=4.979 alpha=90.00 beta=90.00 gamma=125.33
Sites, in units of the cell vectors:
Mg  0.172  0.341  0.000
Mg  0.825  0.675  0.500
Mg  0.186  0.814  0.000
W  0.326  0.674  0.500
Mg  0.659  0.828  0.000
Mg  0.680  0.320  0.000
Ti  0.827  0.173  0.500
Mg  0.325  0.175  0.500

# 7
Compound: TaZnTe
Source: Alexandria via LeMat-Bulk
Functional: PBE
Structure: relaxed

Results
Electronic total energy ... -4.76 eV per atom
Symmetry ... Amm2 (38)

Unit cell a=5.204 b=4.430 c=6.593 alpha=90.00 beta=90.00 gamma=125.97
Sites, in units of the cell vectors:
Ta  0.417  0.834  0.500
Ta  0.464  0.929  0.000
Zn  0.127  0.254  0.800
Te  0.765  0.531  0.265
Zn  0.127  0.254  0.200
Te  0.765  0.531  0.735

# 8
Compound: SrSnIrPb2
Source: Alexandria via LeMat-Bulk
Functional: PBE
Structure: relaxed

Results
Symmetry ... P4/mmm (123)
DFT formation energy ... 858 kJ/mol of formula units

Unit cell a=5.898 b=5.898 c=5.812 alpha=90.00 beta=90.00 gamma=90.00
Each line ends with the local moment (μB).
Sites, in units of the cell vectors:
Ir  0.500  0.500  0.500  1.48
Pb  0.500  0.000  0.000  -0.04
Sn  0.000  0.000  0.500  -0.04
Sr  0.000  0.000  0.000  -0.04
Pb  0.000  0.500  0.000  -0.04